# 1
An optimized crystal structure of Pr3Ho6In, computed with PBE-GGA.

Summary:
* M_tot: 0.00 Bohr magnetons per cell
* Fermi-level density of states: 27.8 states/eV per cell
* volume: 640.0 Å³ per cell
* calculated formation energy: -0.024 eV/atom

```
Pr3Ho6In
1.0
-3.119 0.428 1.683
-5.990 1.477 -11.476
1.631 -14.514 6.716
Pr Ho In
6 12 2
Direct
0.750 0.386 0.895
0.250 0.614 0.105
0.750 0.624 0.502
0.250 0.376 0.498
0.750 0.127 0.092
0.250 0.873 0.908
0.750 0.593 0.710
0.250 0.407 0.290
0.750 0.858 0.110
0.250 0.142 0.890
0.750 0.383 0.100
0.250 0.617 0.900
0.750 0.668 0.312
0.250 0.332 0.688
0.750 0.112 0.477
0.250 0.888 0.523
0.750 0.889 0.718
0.250 0.111 0.282
0.750 0.116 0.692
0.250 0.884 0.308
```

***

# 2
An optimized crystal structure of RbBaSrAl2, computed with PBE-GGA.

Summary:
* M_tot: 0.00 Bohr magnetons per cell
* Fermi-level density of states: 6.7 states/eV per cell
* volume: 262.6 Å³ per cell
* calculated formation energy: 0.795 eV/atom
* offset from the most stable computed form: 48 meV/atom

```
RbBaSrAl2
1.0
6.225 0.000 0.000
0.000 6.777 0.000
0.000 0.000 6.225
Sr Ba Rb Al
1 1 1 2
Direct
0.000 0.500 0.000
0.000 0.000 0.000
0.500 0.500 0.500
0.000 0.000 0.500
0.500 0.000 0.000
```

***

# 3
An optimized crystal structure of TbPr3Dy2Er6, computed with PBE-GGA.

Summary:
* M_tot: 0.00 Bohr magnetons per cell
* Fermi-level density of states: 14.9 states/eV per cell
* volume: 384.3 Å³ per cell
* calculated formation energy: 0.021 eV/atom

```
TbPr3Dy2Er6
1.0
-5.427 -0.440 -2.948
2.060 -4.738 3.412
-4.272 6.056 9.121
Tb Pr Dy Er
1 3 2 6
Direct
0.000 0.000 0.000
0.167 0.833 0.500
0.833 0.167 0.500
0.500 0.500 0.500
0.333 0.667 0.000
0.667 0.333 0.000
0.918 0.585 0.754
0.749 0.749 0.246
0.082 0.415 0.246
0.585 0.918 0.754
0.251 0.251 0.754
0.415 0.082 0.246
```

***

Q: Among the records above, which one has the highest volume?
A: Pr3Ho6In